The following is a DFT calculation (PBE) of crystalline CdNi3H at its relaxed geometry.

CIF file:
```
data_CdNi3H
_chemical_formula_sum 'Cd1 Ni3 H1'
_symmetry_space_group_name_H-M 'P m -3 m'
_symmetry_Int_Tables_number 221
_symmetry_space_group_name_Hall '-P 4 2 3'
_cell_length_a 3.771
_cell_length_b 3.771
_cell_length_c 3.771
_cell_angle_alpha 90.00
_cell_angle_beta 90.00
_cell_angle_gamma 90.00
loop_
_atom_site_label
_atom_site_type_symbol
_atom_site_fract_x
_atom_site_fract_y
_atom_site_fract_z
Cd1 Cd 0.000 0.000 0.000
Ni1 Ni 0.000 0.500 0.500
H1 H 0.500 0.500 0.500
```

Properties
calculated density: 8962 kg/m³
M_tot: 0.527 μB per formula unit
Fermi-level density of states: 6.59 states/eV/cell
calculated volume: 10.7 Å³ per atom
offset from the most stable computed form: 0 meV/atom